[1]
Computed, not measured: an optimized crystal structure of KTa2Cr at the PBE level of DFT.

Unit cell a=5.1792 b=4.0287 c=4.0287 alpha=90.00 beta=90.00 gamma=90.00
Fractional positions:
Cr1 0.5000 0.5000 0.0000
Ta1 0.0000 0.5000 0.5000
Ta2 0.0000 0.0000 0.0000
K1 0.5000 0.0000 0.5000

Summary:
E_form   1.55 eV per atom
Total magnetic moment   2.36 μB/cell
Excess energy over the best structure of this formula in the dataset   859 meV per atom
Raw total energy   -0.5186 Ry/atom
Calculated density   8.95 g/cm³


[2]
Computed, not measured: an optimized crystal structure of KTa2Cr at the PBE level of DFT.

Unit cell a=3.9622 b=2.8657 c=8.5155 alpha=82.45 beta=90.00 gamma=90.00
Fractional positions:
Cr1 0.5000 0.2500 0.2500
K1 0.5000 0.7500 0.7500
Ta1 0.0000 0.9673 0.1060
Ta2 0.0000 0.5327 0.3940

Summary:
E_form   0.88 eV per atom
Total magnetic moment   0.00 μB/cell
Excess energy over the best structure of this formula in the dataset   187 meV per atom
Raw total energy   -0.5680 Ry/atom
Calculated density   7.85 g/cm³


[3]
Computed, not measured: an optimized crystal structure of KTa2Cr at the PBE level of DFT.

Unit cell a=4.6733 b=4.6733 c=3.4200 alpha=90.00 beta=90.00 gamma=90.00
Fractional positions:
Ta1 0.5000 0.5000 0.0000
Ta2 0.0000 0.0000 0.0000
Cr1 0.5000 0.0000 0.5000
K1 0.0000 0.5000 0.5000

Summary:
E_form   1.77 eV per atom
Total magnetic moment   1.12 μB/cell
Excess energy over the best structure of this formula in the dataset   1077 meV per atom
Raw total energy   -0.5027 Ry/atom
Calculated density   10.07 g/cm³


[4]
Computed, not measured: an optimized crystal structure of K2TaCr at the PBE level of DFT.

Unit cell a=12.8030 b=12.8030 c=12.8030 alpha=13.91 beta=13.91 gamma=13.91
Fractional positions:
K1 0.5008 0.5008 0.5008
K2 0.9992 0.9992 0.9992
Ta1 0.7500 0.7500 0.7500
Cr1 0.2500 0.2500 0.2500

Summary:
E_form   1.39 eV per atom
Total magnetic moment   4.07 μB/cell
Excess energy over the best structure of this formula in the dataset   533 meV per atom
Raw total energy   -0.3330 Ry/atom
Calculated density   4.90 g/cm³


[5]
Computed, not measured: an optimized crystal structure of KTa2Cr at the PBE level of DFT.

Unit cell a=3.4028 b=3.4028 c=8.3808 alpha=90.00 beta=90.00 gamma=90.00
Fractional positions:
Ta1 0.0000 0.0000 0.1052
Ta2 0.5000 0.5000 0.2712
Cr1 0.0000 0.0000 0.3951
K1 0.5000 0.5000 0.7285

Summary:
E_form   0.83 eV per atom
Total magnetic moment   0.00 μB/cell
Excess energy over the best structure of this formula in the dataset   136 meV per atom
Raw total energy   -0.5718 Ry/atom
Calculated density   7.75 g/cm³


[6]
Computed, not measured: an optimized crystal structure of KTaCr2 at the PBE level of DFT.

Unit cell a=4.8846 b=4.8846 c=7.1888 alpha=88.05 beta=88.05 gamma=34.59
Fractional positions:
Cr1 0.5094 0.5094 0.3579
Cr2 0.9906 0.9906 0.1421
Ta1 0.2500 0.2500 0.2500
K1 0.7500 0.7500 0.7500

Summary:
E_form   0.95 eV per atom
Total magnetic moment   0.00 μB/cell
Excess energy over the best structure of this formula in the dataset   202 meV per atom
Raw total energy   -0.5214 Ry/atom
Calculated density   5.53 g/cm³


[7]
Computed, not measured: an optimized crystal structure of K2TaCr at the PBE level of DFT.

Unit cell a=6.8671 b=6.8671 c=6.8671 alpha=145.66 beta=145.66 gamma=49.36
Fractional positions:
K1 0.0000 0.0000 0.0000
K2 0.5000 0.5000 0.0000
Ta1 0.2500 0.7500 0.5000
Cr1 0.7500 0.2500 0.5000

Summary:
E_form   1.51 eV per atom
Total magnetic moment   1.69 μB/cell
Excess energy over the best structure of this formula in the dataset   654 meV per atom
Raw total energy   -0.3241 Ry/atom
Calculated density   5.04 g/cm³


[8]
Computed, not measured: an optimized crystal structure of K2TaCr2Te6 at the PBE level of DFT.

Unit cell a=7.0149 b=7.0149 c=8.6679 alpha=97.57 beta=97.57 gamma=119.82
Fractional positions:
K1 0.1644 0.8356 0.0000
K2 0.8356 0.1644 0.0000
Te1 0.7190 0.7190 0.6831
Te2 0.9379 0.6016 0.3164
Te3 0.0621 0.3984 0.6836
Te4 0.6016 0.9379 0.3164
Te5 0.3984 0.0621 0.6836
Te6 0.2810 0.2810 0.3169
Cr1 0.3319 0.6681 0.5000
Cr2 0.6681 0.3319 0.5000
Ta1 0.0000 0.0000 0.5000

Summary:
Formation energy without anion corrections   -0.45 eV per atom
Total magnetic moment   7.02 μB/cell
Raw total energy   -0.3812 Ry/atom
Calculated density   5.25 g/cm³


[9]
Computed, not measured: an optimized crystal structure of KZrTaCr2 at the PBE level of DFT.

Unit cell a=4.5961 b=4.8041 c=4.5961 alpha=90.00 beta=90.00 gamma=90.00
Fractional positions:
Cr1 0.0000 0.0000 0.5000
Cr2 0.5000 0.0000 0.0000
Ta1 0.5000 0.5000 0.5000
Zr1 0.0000 0.5000 0.0000
K1 0.0000 0.0000 0.0000

Summary:
E_form   2.37 eV per atom
Total magnetic moment   6.30 μB/cell
Raw total energy   -0.4246 Ry/atom
Calculated density   6.80 g/cm³


[10]
Computed, not measured: an optimized crystal structure of K2CrTc at the PBE level of DFT.

Unit cell a=2.9185 b=2.9185 c=12.0486 alpha=90.00 beta=90.00 gamma=111.86
Fractional positions:
Tc1 0.5000 0.5000 0.2500
K1 0.0000 0.0000 0.4860
K2 0.0000 0.0000 0.0140
Cr1 0.5000 0.5000 0.7500

Summary:
E_form   1.48 eV per atom
Total magnetic moment   4.35 μB/cell
Excess energy over the best structure of this formula in the dataset   712 meV per atom
Raw total energy   -0.2986 Ry/atom
Calculated density   3.98 g/cm³


[11]
Computed, not measured: an optimized crystal structure of KCr2Tc4 at the PBE level of DFT.

Unit cell a=4.5125 b=4.5125 c=6.9749 alpha=71.13 beta=71.13 gamma=90.00
Fractional positions:
Tc1 0.7873 0.7873 0.4253
Tc2 0.5000 0.0000 0.0000
Tc3 0.0000 0.5000 0.0000
Tc4 0.2127 0.2127 0.5747
Cr1 0.3793 0.3793 0.2413
Cr2 0.6207 0.6207 0.7587
K1 0.0000 0.0000 0.0000

Summary:
E_form   2.30 eV per atom
Total magnetic moment   0.59 μB/cell
Raw total energy   -0.4798 Ry/atom
Calculated density   7.04 g/cm³


[12]
Computed, not measured: an optimized crystal structure of KCr4Tc at the PBE level of DFT.

Unit cell a=4.9818 b=4.9818 c=4.9818 alpha=60.00 beta=60.00 gamma=60.00
Fractional positions:
Cr1 0.3749 0.3749 0.3749
Cr2 0.3749 0.3749 0.8754
Cr3 0.8754 0.3749 0.3749
Cr4 0.3749 0.8754 0.3749
K1 0.7500 0.7500 0.7500
Tc1 0.0000 0.0000 0.0000

Summary:
E_form   1.12 eV per atom
Total magnetic moment   0.00 μB/cell
Raw total energy   -0.5299 Ry/atom
Calculated density   6.55 g/cm³


[13]
Computed, not measured: an optimized crystal structure of K2CrTc at the PBE level of DFT.

Unit cell a=3.4247 b=4.6177 c=5.9560 alpha=90.00 beta=90.00 gamma=90.00
Fractional positions:
Tc1 0.5000 0.0000 0.5000
Cr1 0.0000 0.5000 0.5000
K1 0.5000 0.5000 0.0000
K2 0.0000 0.0000 0.0000

Summary:
E_form   1.39 eV per atom
Total magnetic moment   2.15 μB/cell
Excess energy over the best structure of this formula in the dataset   615 meV per atom
Raw total energy   -0.3058 Ry/atom
Calculated density   4.02 g/cm³


[14]
Computed, not measured: an optimized crystal structure of K4CrTc at the PBE level of DFT.

Unit cell a=7.0360 b=7.0360 c=7.0360 alpha=60.00 beta=60.00 gamma=60.00
Fractional positions:
Cr1 0.0000 0.0000 0.0000
K1 0.3751 0.3751 0.3751
K2 0.8746 0.3751 0.3751
K3 0.3751 0.8746 0.3751
K4 0.3751 0.3751 0.8746
Tc1 0.7500 0.7500 0.7500

Summary:
E_form   1.43 eV per atom
Total magnetic moment   1.59 μB/cell
Raw total energy   -0.1937 Ry/atom
Calculated density   2.07 g/cm³


[15]
Computed, not measured: an optimized crystal structure of K2CrTc at the PBE level of DFT.

Unit cell a=2.8801 b=2.8801 c=11.8222 alpha=90.00 beta=90.00 gamma=90.00
Fractional positions:
K1 0.0000 0.0000 0.0161
K2 0.0000 0.0000 0.4839
Cr1 0.5000 0.5000 0.7500
Tc1 0.5000 0.5000 0.2500

Summary:
E_form   1.49 eV per atom
Total magnetic moment   4.55 μB/cell
Excess energy over the best structure of this formula in the dataset   723 meV per atom
Raw total energy   -0.2979 Ry/atom
Calculated density   3.86 g/cm³


[16]
Computed, not measured: an optimized crystal structure of K2CrTc at the PBE level of DFT.

Unit cell a=6.7508 b=6.7508 c=6.2874 alpha=66.05 beta=66.05 gamma=28.14
Fractional positions:
Cr1 0.1843 0.1843 0.3019
Tc1 0.5640 0.5640 0.4503
K1 0.9763 0.9763 0.0353
K2 0.7754 0.7754 0.7125

Summary:
E_form   1.02 eV per atom
Total magnetic moment   1.32 μB/cell
Excess energy over the best structure of this formula in the dataset   253 meV per atom
Raw total energy   -0.3324 Ry/atom
Calculated density   3.09 g/cm³


[17]
Computed, not measured: an optimized crystal structure of K2CrTc at the PBE level of DFT.

Unit cell a=5.9997 b=2.9473 c=5.2147 alpha=84.80 beta=90.00 gamma=90.00
Fractional positions:
K1 0.0000 0.5109 0.4991
K2 0.0000 0.9891 0.0009
Tc1 0.5000 0.2500 0.2500
Cr1 0.5000 0.7500 0.7500

Summary:
E_form   1.41 eV per atom
Total magnetic moment   3.13 μB/cell
Excess energy over the best structure of this formula in the dataset   641 meV per atom
Raw total energy   -0.3039 Ry/atom
Calculated density   4.13 g/cm³


[18]
Computed, not measured: an optimized crystal structure of K2CrTc at the PBE level of DFT.

Unit cell a=5.3726 b=5.3726 c=5.3726 alpha=60.00 beta=60.00 gamma=60.00
Fractional positions:
K1 0.2500 0.2500 0.2500
K2 0.0000 0.0000 0.0000
Tc1 0.7500 0.7500 0.7500
Cr1 0.5000 0.5000 0.5000

Summary:
E_form   1.45 eV per atom
Total magnetic moment   1.51 μB/cell
Excess energy over the best structure of this formula in the dataset   677 meV per atom
Raw total energy   -0.3012 Ry/atom
Calculated density   3.46 g/cm³


[19]
Computed, not measured: an optimized crystal structure of K2CrTc at the PBE level of DFT.

Unit cell a=5.1719 b=6.6609 c=2.9749 alpha=79.26 beta=84.54 gamma=111.53
Fractional positions:
Tc1 0.0000 0.5000 0.5000
K1 0.0000 0.0000 0.0000
K2 0.5000 0.0000 0.5000
Cr1 0.5000 0.5000 0.0000

Summary:
E_form   1.42 eV per atom
Total magnetic moment   2.94 μB/cell
Excess energy over the best structure of this formula in the dataset   647 meV per atom
Raw total energy   -0.3035 Ry/atom
Calculated density   4.11 g/cm³


[20]
Computed, not measured: an optimized crystal structure of K2CrTc at the PBE level of DFT.

Unit cell a=3.3391 b=3.3461 c=10.5162 alpha=90.00 beta=90.00 gamma=90.00
Fractional positions:
Tc1 0.0000 0.0000 0.5890
K1 0.0000 0.0000 0.9217
K2 0.5000 0.5000 0.3294
Cr1 0.5000 0.5000 0.6599

Summary:
E_form   0.77 eV per atom
Total magnetic moment   1.88 μB/cell
Excess energy over the best structure of this formula in the dataset   0 meV per atom
Raw total energy   -0.3510 Ry/atom
Calculated density   3.22 g/cm³


[21]
Computed, not measured: an optimized crystal structure of K2CrTc at the PBE level of DFT.

Unit cell a=12.2242 b=12.2242 c=12.2242 alpha=14.13 beta=14.13 gamma=14.13
Fractional positions:
Tc1 0.2500 0.2500 0.2500
K1 0.9960 0.9960 0.9960
K2 0.5040 0.5040 0.5040
Cr1 0.7500 0.7500 0.7500

Summary:
E_form   1.50 eV per atom
Total magnetic moment   4.94 μB/cell
Excess energy over the best structure of this formula in the dataset   731 meV per atom
Raw total energy   -0.2973 Ry/atom
Calculated density   4.00 g/cm³


[22]
Computed, not measured: an optimized crystal structure of K2CrTc at the PBE level of DFT.

Unit cell a=2.9254 b=5.8842 c=5.5059 alpha=90.00 beta=90.00 gamma=90.00
Fractional positions:
K1 0.0000 0.0000 0.4973
K2 0.0000 0.0000 0.0027
Cr1 0.5000 0.5000 0.7500
Tc1 0.5000 0.5000 0.2500

Summary:
E_form   1.47 eV per atom
Total magnetic moment   3.31 μB/cell
Excess energy over the best structure of this formula in the dataset   702 meV per atom
Raw total energy   -0.2994 Ry/atom
Calculated density   4.00 g/cm³


[23]
Computed, not measured: an optimized crystal structure of KCrTc4 at the PBE level of DFT.

Unit cell a=5.2878 b=5.2878 c=5.2878 alpha=60.00 beta=60.00 gamma=60.00
Fractional positions:
Cr1 0.7500 0.7500 0.7500
Tc1 0.3753 0.3753 0.3753
Tc2 0.3753 0.8742 0.3753
Tc3 0.8742 0.3753 0.3753
Tc4 0.3753 0.3753 0.8742
K1 0.0000 0.0000 0.0000

Summary:
E_form   1.02 eV per atom
Total magnetic moment   2.00 μB/cell
Raw total energy   -0.5646 Ry/atom
Calculated density   7.67 g/cm³


[24]
Computed, not measured: an optimized crystal structure of K2CrTc at the PBE level of DFT.

Unit cell a=6.5167 b=6.5167 c=2.9201 alpha=90.00 beta=90.00 gamma=129.85
Fractional positions:
K1 0.0000 0.0000 0.0000
K2 0.5000 0.5000 0.0000
Tc1 0.5000 0.0000 0.5000
Cr1 0.0000 0.5000 0.5000

Summary:
E_form   1.47 eV per atom
Total magnetic moment   3.44 μB/cell
Excess energy over the best structure of this formula in the dataset   704 meV per atom
Raw total energy   -0.2993 Ry/atom
Calculated density   3.98 g/cm³


[25]
Computed, not measured: an optimized crystal structure of K2CrTc at the PBE level of DFT.

Unit cell a=5.6837 b=5.6837 c=5.6837 alpha=60.00 beta=60.00 gamma=60.00
Fractional positions:
Cr1 0.0000 0.0000 0.0000
K1 0.2500 0.2500 0.2500
K2 0.7500 0.7500 0.7500
Tc1 0.5000 0.5000 0.5000

Summary:
E_form   1.70 eV per atom
Total magnetic moment   1.39 μB/cell
Excess energy over the best structure of this formula in the dataset   934 meV per atom
Raw total energy   -0.2824 Ry/atom
Calculated density   2.92 g/cm³


[26]
Computed, not measured: an optimized crystal structure of K2CrTc at the PBE level of DFT.

Unit cell a=10.6451 b=10.6451 c=10.6451 alpha=162.12 beta=160.69 gamma=26.43
Fractional positions:
K1 0.6009 0.6009 0.0000
K2 0.8991 0.8991 0.0000
Cr1 0.2500 0.7500 0.5000
Tc1 0.7500 0.2500 0.5000

Summary:
E_form   0.80 eV per atom
Total magnetic moment   1.39 μB/cell
Excess energy over the best structure of this formula in the dataset   33 meV per atom
Raw total energy   -0.3485 Ry/atom
Calculated density   3.10 g/cm³


[27]
Computed, not measured: an optimized crystal structure of K2CrTc at the PBE level of DFT.

Unit cell a=12.8743 b=12.8743 c=9.3865 alpha=46.70 beta=46.70 gamma=90.00
Fractional positions:
K1 0.8750 0.7060 0.7500
K2 0.2940 0.6250 0.2500
K3 0.3750 0.5440 0.7500
K4 0.4560 0.1250 0.2500
Cr1 0.2500 0.7500 0.5000
Cr2 0.5000 0.5000 0.0000
Tc1 0.0000 0.0000 0.0000
Tc2 0.7500 0.2500 0.5000

Summary:
E_form   1.28 eV per atom
Total magnetic moment   2.46 μB/cell
Excess energy over the best structure of this formula in the dataset   505 meV per atom
Raw total energy   -0.3139 Ry/atom
Calculated density   2.00 g/cm³


[28]
Computed, not measured: an optimized crystal structure of KCrTe4 at the PBE level of DFT.

Unit cell a=6.5173 b=6.5173 c=6.5173 alpha=60.00 beta=60.00 gamma=60.00
Fractional positions:
Te1 0.3758 0.3758 0.3758
Te2 0.3758 0.3758 0.8727
Te3 0.3758 0.8727 0.3758
Te4 0.8727 0.3758 0.3758
Cr1 0.7500 0.7500 0.7500
K1 0.0000 0.0000 0.0000

Summary:
Formation energy without anion corrections   0.27 eV per atom
Total magnetic moment   5.20 μB/cell
Raw total energy   -0.2657 Ry/atom
Calculated density   5.10 g/cm³


[29]
Computed, not measured: an optimized crystal structure of K2CrTe at the PBE level of DFT.

Unit cell a=4.6806 b=4.6816 c=7.8792 alpha=53.67 beta=90.00 gamma=90.00
Fractional positions:
Cr1 0.5000 0.7500 0.7500
K1 0.0000 0.9885 0.0139
K2 0.0000 0.5115 0.4861
Te1 0.5000 0.2500 0.2500

Summary:
Formation energy without anion corrections   0.10 eV per atom
Total magnetic moment   5.00 μB/cell
Raw total energy   -0.2676 Ry/atom
Calculated density   3.08 g/cm³